No. 1
First-principles (GGA-PBE) data for a relaxed Sm8TmMg2 crystal, as listed in Alexandria.

Results
Space-group type: C2/m
Energy above the most stable polymorph in this dataset in kJ/mol of formula units: 117
ΔE_f in eV per atom: 0.1216
Mass density in g/cm³: 6.58

POSCAR file:
```
Sm8TmMg2
1.0
-1.924 1.154 -5.295
-5.605 -6.514 2.827
0.082 8.136 3.954
Sm Tm Mg
8 1 2
Cartesian
-6.664 0.628 0.663
-5.383 3.927 0.916
-3.832 1.299 2.447
-5.371 -2.856 0.417
-2.075 5.632 1.070
-3.614 1.477 -0.960
-2.063 -1.150 0.570
-0.783 2.148 0.824
-0.962 0.577 -2.647
-1.663 3.640 3.608
-3.859 -2.018 3.173
```


No. 2
First-principles (GGA-PBE) data for a relaxed TlSb2Os crystal, as listed in Alexandria.

Results
Space-group type: P4/mmm
Energy above the most stable polymorph in this dataset in kJ/mol of formula units: 261
Mass density in g/cm³: 11.83
ΔE_f (raw) in eV/atom: 0.889

POSCAR file:
```
TlSb2Os
1.0
5.133 0.000 0.000
0.000 5.133 0.000
0.000 0.000 3.400
Os Sb Tl
1 2 1
Cartesian
0.000 2.566 1.700
0.000 0.000 0.000
2.566 2.566 0.000
2.566 0.000 1.700
```


No. 3
First-principles (GGA-PBE) data for a relaxed Ce2PuCd crystal, as listed in Alexandria.

Results
Space-group type: Fm-3m
Energy above the most stable polymorph in this dataset in kJ/mol of formula units: 9
ΔE_f in eV per atom: -0.0170
Mass density in g/cm³: 9.98

POSCAR file:
```
Ce2PuCd
1.0
5.310 0.000 0.000
2.655 4.599 0.000
2.655 1.533 4.336
Cd Ce Pu
1 2 1
Cartesian
0.000 0.000 0.000
2.655 1.533 1.084
7.965 4.599 3.252
5.310 3.066 2.168
```


No. 4
First-principles (GGA-PBE) data for a relaxed CaHf2Pd2 crystal, as listed in Alexandria.

Results
Space-group type: I4/mmm
Energy above the most stable polymorph in this dataset in kJ/mol of formula units: 0
ΔE_f in eV per atom: -0.4385
Mass density in g/cm³: 8.78

POSCAR file:
```
CaHf2Pd2
1.0
-2.302 3.670 -1.492
-2.839 -2.732 -2.341
-5.884 0.168 2.454
Ca Hf Pd
1 2 2
Cartesian
0.000 0.000 0.000
-5.378 2.154 -0.477
-5.646 -1.047 -0.902
-3.376 0.396 -0.854
-7.648 0.711 -0.526
```


No. 5
First-principles (GGA-PBE) data for a relaxed Cs2KFeC6N6 crystal, as listed in Alexandria.

Results
Space-group type: P2_1/c
Mass density in g/cm³: 2.39
ΔE_f (raw) in eV/atom: -0.140

POSCAR file:
```
Cs2KFeC6N6
1.0
8.205 0.000 0.000
0.000 7.799 -0.005
0.000 7.742 11.238
Cs K Fe C N
4 2 2 12 12
Cartesian
3.572 7.915 8.413
7.675 11.497 8.439
4.633 7.626 2.820
0.530 4.044 2.794
4.103 3.900 -0.003
0.000 7.771 5.616
4.103 3.871 5.619
0.000 0.000 0.000
4.296 12.222 7.432
0.194 7.190 9.420
3.909 3.319 3.801
8.011 8.351 1.813
1.046 9.300 10.876
5.148 10.112 5.976
7.159 6.241 0.357
3.057 5.429 5.257
1.584 6.831 0.463
5.687 4.839 5.151
6.621 8.710 10.770
2.518 10.702 6.082
4.439 12.564 8.551
0.336 6.848 8.301
3.766 2.977 2.682
7.869 8.694 2.932
1.680 10.263 10.631
5.782 9.150 6.221
6.525 5.279 0.602
2.423 6.392 5.012
2.551 6.226 0.760
6.654 5.444 4.854
5.654 9.315 10.473
1.551 10.097 6.379
```


No. 6
First-principles (GGA-PBE) data for a relaxed Na2ReGeF crystal, as listed in Alexandria.

Results
Space-group type: P4/mmm
Mass density in g/cm³: 3.56
ΔE_f (raw) in eV/atom: 0.376

POSCAR file:
```
Na2ReGeF
1.0
5.645 0.000 0.000
0.000 4.740 0.000
0.000 0.000 5.645
Re Ge F Na
1 1 1 2
Cartesian
0.000 2.370 0.000
0.000 0.000 0.000
2.822 2.370 2.822
0.000 0.000 2.822
2.822 0.000 0.000
```